1.
Material: ErNbN2O
Method: DFT, PBE
State: relaxed

CIF file:
```
data_ErNbN2O
_cell_length_a 7.8785
_cell_length_b 7.8841
_cell_length_c 7.9413
_cell_angle_alpha 89.93
_cell_angle_beta 87.19
_cell_angle_gamma 89.86
_symmetry_space_group_name_H-M 'P 1'
_symmetry_Int_Tables_number 1
loop_
_symmetry_equiv_pos_as_xyz
'x,y,z'
loop_
_atom_site_label
_atom_site_fract_x
_atom_site_fract_y
_atom_site_fract_z
_atom_site_occupancy
Er1 0.0000 0.0000 0.0000 1
Er2 0.0157 0.9948 0.4750 1
Er3 0.4265 0.4990 0.9331 1
Er4 0.4481 0.5011 0.4227 1
Er5 0.5076 0.0001 0.4922 1
Er6 0.5260 0.0033 0.9778 1
Er7 0.9379 0.5032 0.4356 1
Er8 0.9586 0.5013 0.9173 1
Nb1 0.2104 0.2473 0.7138 1
Nb2 0.2287 0.2373 0.2206 1
Nb3 0.2289 0.7657 0.7200 1
Nb4 0.2443 0.7648 0.2080 1
Nb5 0.7168 0.7442 0.7225 1
Nb6 0.7192 0.7324 0.2061 1
Nb7 0.7336 0.2555 0.7168 1
Nb8 0.7370 0.2570 0.2163 1
N1 0.1471 0.9993 0.7405 1
N2 0.1720 0.6880 0.9541 1
N3 0.1805 0.3116 0.9498 1
N4 0.2697 0.0027 0.1297 1
N5 0.2776 0.8030 0.4516 1
N6 0.2903 0.1935 0.4499 1
N7 0.4765 0.8100 0.7573 1
N8 0.4790 0.6891 0.1466 1
N9 0.6687 0.3048 0.4512 1
N10 0.6795 0.6969 0.4491 1
N11 0.6881 0.4982 0.7765 1
N12 0.7749 0.1843 0.9489 1
N13 0.7836 0.8166 0.9474 1
N14 0.8081 0.5005 0.1665 1
N15 0.9772 0.1898 0.2572 1
N16 0.9793 0.3110 0.6475 1
O1 0.1879 0.5008 0.2889 1
O2 0.3165 0.4951 0.6690 1
O3 0.4774 0.3188 0.1448 1
O4 0.4800 0.1758 0.7538 1
O5 0.6408 0.0040 0.2383 1
O6 0.7675 0.9979 0.6143 1
O7 0.9758 0.8225 0.2535 1
O8 0.9812 0.6826 0.6463 1
```



2.
Material: ErNbN2O
Method: DFT, PBE
State: relaxed

CIF file:
```
data_ErNbN2O
_cell_length_a 6.2020
_cell_length_b 6.2020
_cell_length_c 12.1550
_cell_angle_alpha 90.00
_cell_angle_beta 90.00
_cell_angle_gamma 120.00
_symmetry_space_group_name_H-M 'P 63 c m'
_symmetry_Int_Tables_number 185
_symmetry_space_group_name_Hall 'P 6c -2'
loop_
_atom_site_label
_atom_site_fract_x
_atom_site_fract_y
_atom_site_fract_z
_atom_site_occupancy
Er1 0.0000 0.0000 0.0000 1
Er2 0.3333 0.6667 0.4614 1
Nb1 0.0000 0.3333 0.2276 1
N1 0.0000 0.3061 0.3890 1
N2 0.0000 0.3633 0.0688 1
O1 0.0000 0.0000 0.2031 1
O2 0.3333 0.6667 0.2458 1
```



3.
Material: ErNbN2O
Method: DFT, PBE
State: relaxed

CIF file:
```
data_ErNbN2O
_cell_length_a 7.8749
_cell_length_b 7.8661
_cell_length_c 10.9270
_cell_angle_alpha 90.00
_cell_angle_beta 133.19
_cell_angle_gamma 90.00
_symmetry_space_group_name_H-M 'P 1 21/c 1'
_symmetry_Int_Tables_number 14
loop_
_symmetry_equiv_pos_as_xyz
'x,y,z'
'-x,-y,-z'
'-x,y+1/2,-z+1/2'
'x,-y+1/2,z+1/2'
loop_
_atom_site_label
_atom_site_fract_x
_atom_site_fract_y
_atom_site_fract_z
_atom_site_occupancy
Er1 0.0612 0.2289 0.0303 1
Er2 0.4359 0.7342 0.4694 1
Nb1 0.0242 0.0097 0.2675 1
Nb2 0.4761 0.5029 0.2228 1
N1 0.0397 0.7463 0.2170 1
N2 0.1825 0.5691 0.0000 1
N3 0.3111 0.0565 0.3120 1
N4 0.4572 0.2449 0.6767 1
O1 0.1828 0.5439 0.4972 1
O2 0.3239 0.0471 0.8242 1
```



Let's list calculated volume in order: 492.7; 404.9; 493.5 Å³ per cell.
Let's list total DFT energy (no corrections) in order: -9.059; -8.639; -9.050 eV/atom.